No. 1
Material: Y3Al3Zn8
Method: DFT, PBE-GGA
State: optimized geometry

a = 8.177 Å, b = 8.177 Å, c = 8.177 Å
α = 150.11°, β = 108.21°, γ = 79.66°
Sites, in units of the cell vectors:
Al1 0.208 0.000 0.208
Al2 0.000 0.500 0.500
Al3 0.792 0.000 0.792
Y1 0.194 0.194 0.000
Y2 0.500 0.500 0.000
Y3 0.806 0.806 0.000
Zn1 0.636 0.360 0.276
Zn2 0.916 0.640 0.276
Zn3 0.531 0.162 0.369
Zn4 0.207 0.838 0.369
Zn5 0.793 0.162 0.631
Zn6 0.469 0.838 0.631
Zn7 0.084 0.360 0.724
Zn8 0.364 0.640 0.724

Values from the calculation:
**E_tot**: -3.2967 eV per atom
**Total magnetization**: 0.0 μB per cell



No. 2
Material: Gd5Bi3
Method: DFT, PBE-GGA
State: optimized geometry

a = 8.314 Å, b = 9.614 Å, c = 12.148 Å
α = 90.00°, β = 90.00°, γ = 90.00°
Sites, in units of the cell vectors:
Bi1 0.590 0.250 0.043
Bi2 0.066 0.505 0.175
Bi3 0.066 0.995 0.175
Bi4 0.566 0.505 0.325
Bi5 0.566 0.995 0.325
Bi6 0.090 0.250 0.457
Bi7 0.910 0.750 0.543
Bi8 0.434 0.005 0.675
Bi9 0.434 0.495 0.675
Bi10 0.934 0.005 0.825
Bi11 0.934 0.495 0.825
Bi12 0.410 0.750 0.957
Gd1 0.975 0.250 0.012
Gd2 0.694 0.562 0.058
Gd3 0.694 0.938 0.058
Gd4 0.353 0.750 0.214
Gd5 0.314 0.250 0.221
Gd6 0.814 0.250 0.279
Gd7 0.853 0.750 0.286
Gd8 0.194 0.562 0.442
Gd9 0.194 0.938 0.442
Gd10 0.475 0.250 0.488
Gd11 0.525 0.750 0.512
Gd12 0.806 0.062 0.558
Gd13 0.806 0.438 0.558
Gd14 0.147 0.250 0.714
Gd15 0.186 0.750 0.721
Gd16 0.686 0.750 0.779
Gd17 0.647 0.250 0.786
Gd18 0.306 0.062 0.942
Gd19 0.306 0.438 0.942
Gd20 0.025 0.750 0.988

Values from the calculation:
**Excess energy over the best structure of this formula in the dataset**: 14 meV/atom
**Total magnetization**: 0.0 μB per cell



What is the total magnetization in the first record? 0.0 μB per cell